VASP calculation (GGA-PBE) on a relaxed HgAu2Cl crystal.

a b c (Å): 3.251 3.251 7.872
angles (deg): 90.00 90.00 90.00
Space group P4mm (No. 99)
Inequivalent atoms, fractional coordinates:
1 Hg 0.000 0.000 0.000 [1 per cell]
2 Au 0.000 0.000 0.466 [1 per cell]
3 Au 0.500 0.500 0.244 [1 per cell]
4 Cl 0.500 0.500 0.703 [1 per cell]

Results
The excess energy over the best structure of this formula in the dataset comes out at 0.1415 eV per atom. The total moment comes out at 0.00 μB per formula unit. The energy relative to the elements, uncorrected is 108 meV per atom.